Density functional theory data (PBE) for crystalline CuNi2Ru at its relaxed geometry.

Calculated values
E_form ... 0.229 eV/atom
N(E_F) ... 12.01 states/eV per cell

Cell lengths 5.809, 5.809, 5.809 Å; angles 90.00, 90.00, 90.00 degrees
Element x y z (fractional)
Cu  0.000  0.000  0.000
Cu  0.000  0.500  0.500
Cu  0.500  0.000  0.500
Cu  0.500  0.500  0.000
Ni  0.250  0.250  0.250
Ni  0.250  0.250  0.750
Ni  0.250  0.750  0.250
Ni  0.250  0.750  0.750
Ni  0.750  0.250  0.250
Ni  0.750  0.250  0.750
Ni  0.750  0.750  0.250
Ni  0.750  0.750  0.750
Ru  0.000  0.000  0.500
Ru  0.000  0.500  0.000
Ru  0.500  0.000  0.000
Ru  0.500  0.500  0.500

Density functional theory data (PBE) for crystalline Sm2ZnP at its relaxed geometry.

Calculated values
E_form ... -0.801 eV/atom
N(E_F) ... 7.78 states/eV per cell

Cell lengths 4.046, 4.046, 22.191 Å; angles 90.00, 90.00, 120.00 degrees
Element x y z (fractional)
Sm  0.000  0.000  0.000
Sm  0.000  0.000  0.190
Sm  0.333  0.667  0.667
Sm  0.333  0.667  0.857
Sm  0.667  0.333  0.333
Sm  0.667  0.333  0.524
Zn  0.000  0.000  0.428
Zn  0.333  0.667  0.094
Zn  0.667  0.333  0.761
P  0.000  0.000  0.595
P  0.333  0.667  0.262
P  0.667  0.333  0.928

Density functional theory data (PBE) for crystalline CuAgTe3 at its relaxed geometry.

Calculated values
N(E_F) ... 5.92 states/eV per cell
Raw formation energy ... 874 meV per atom

Cell lengths 5.400, 5.400, 5.400 Å; angles 90.00, 90.00, 90.00 degrees
Element x y z (fractional)
Cu  0.000  0.000  0.000
Ag  0.500  0.500  0.500
Te  0.000  0.500  0.500
Te  0.500  0.000  0.500
Te  0.500  0.500  0.000

Density functional theory data (PBE) for crystalline Cs2NbCoI6 at its relaxed geometry.

Calculated values
N(E_F) ... 14.93 states/eV per cell
Raw formation energy ... -618 meV per atom

Cell lengths 8.143, 8.143, 8.143 Å; angles 119.96, 119.96, 90.07 degrees
Element x y z (fractional)
Cs  0.250  0.750  0.500
Cs  0.750  0.250  0.500
Nb  0.000  0.000  0.000
Co  0.500  0.500  0.000
I  0.252  0.252  0.000
I  0.252  0.252  0.504
I  0.252  0.748  0.000
I  0.748  0.252  0.000
I  0.748  0.748  0.000
I  0.748  0.748  0.496

Density functional theory data (PBE) for crystalline Tc4PBr at its relaxed geometry.

Calculated values
N(E_F) ... 5.66 states/eV per cell
Raw formation energy ... 1071 meV per atom

Cell lengths 5.202, 5.202, 5.202 Å; angles 60.00, 60.00, 60.00 degrees
Element x y z (fractional)
Tc  0.376  0.376  0.376
Tc  0.376  0.376  0.873
Tc  0.376  0.873  0.376
Tc  0.873  0.376  0.376
P  0.750  0.750  0.750
Br  0.000  0.000  0.000

Density functional theory data (PBE) for crystalline Tb3Pm7Er at its relaxed geometry.

Calculated values
E_form ... 0.120 eV/atom
N(E_F) ... 14.96 states/eV per cell

Cell lengths 7.070, 5.643, 10.032 Å; angles 90.00, 110.40, 90.00 degrees
Element x y z (fractional)
Tb  0.000  0.000  0.000
Tb  0.280  0.500  0.500
Tb  0.720  0.500  0.500
Pm  0.000  0.000  0.500
Pm  0.145  0.500  0.792
Pm  0.322  0.500  0.139
Pm  0.415  0.000  0.329
Pm  0.585  0.000  0.671
Pm  0.678  0.500  0.861
Pm  0.855  0.500  0.208
Er  0.500  0.000  0.000